Material: Y4Nb2Pb3N3
Method: DFT, PBE-GGA
State: relaxed

Results
E_tot, eV/f.u.: -92.42

Lattice parameters (Å, degrees): 10.3875 6.0284 15.2725 90.00 102.89 90.00
With the nearest neighbours (Å) after each atom.
Space group C2/c (No. 15)
One atom of each set of equivalent atoms:
1 Y 0.1127 0.0816 0.0872 (multiplicity 8)  3 N 2.39-2.42
2 Y 0.2201 0.0835 0.4128 (multiplicity 8)  3 N 2.39-2.41
3 Nb 0.0588 0.4177 0.9286 (multiplicity 8)  3 N 2.23-2.28
4 Pb 0.0000 0.1123 0.7500 (multiplicity 4)  2 Pb 3.19, 4 Y 3.20, 2 Nb 3.23
5 Pb 0.1531 0.4301 0.2493 (multiplicity 8)  2 Pb 3.18-3.19, 4 Y 3.19-3.21, 2 Nb 3.23-3.24
6 N 0.0811 0.2564 0.5000 (multiplicity 8)  2 Nb 2.23, 4 Y 2.40-2.42
7 N 0.2500 0.2500 0.0000 (multiplicity 4)  2 Nb 2.28, 4 Y 2.39